# 1
Below is crystalline Er2GaAg at its relaxed geometry, with properties calculated at the GGA-PBE level.

Unit cell a=3.5230 b=3.5230 c=7.3591 alpha=90.00 beta=90.00 gamma=90.00
Closest atoms and distances in Å follow each position.
Atoms (fractional coordinates):
Er  0.0000  0.0000  0.2463  4 Ga 3.08, 4 Ag 3.11
Er  0.0000  0.0000  0.7537  4 Ga 3.08, 4 Ag 3.11
Ga  0.5000  0.5000  0.0000  8 Er 3.08
Ag  0.5000  0.5000  0.5000  8 Er 3.11

N(E_F) in states/eV/atom: 0.592
Energy relative to the elements in meV per atom: -463
Size of the total moment in μB per formula unit: 0.0
Crystal system: tetragonal
Electronic total energy in eV for the cell shown: -16.86

=====

# 2
Below is crystalline Er6Ga2Ag at its relaxed geometry, with properties calculated at the GGA-PBE level.

Unit cell a=8.5775 b=8.5775 c=8.5775 alpha=146.91 beta=131.83 gamma=59.69
Closest atoms and distances in Å follow each position.
Atoms (fractional coordinates):
Er  0.0839  0.3326  0.7514  3 Ga 3.01, 1 Ag 3.04
Er  0.2487  0.0000  0.2487  2 Ag 3.01, 2 Ga 3.04
Er  0.4188  0.6674  0.7514  3 Ga 3.01, 1 Ag 3.04
Er  0.5812  0.3326  0.2486  3 Ga 3.01, 1 Ag 3.04
Er  0.7513  0.0000  0.7513  2 Ag 3.01, 2 Ga 3.04
Er  0.9161  0.6674  0.2486  3 Ga 3.01, 1 Ag 3.04
Ga  0.1672  0.1672  0.0000  8 Er 3.01-3.04
Ga  0.8328  0.8328  0.0000  8 Er 3.01-3.04
Ag  0.5000  0.5000  0.0000  8 Er 3.01-3.04

N(E_F) in states/eV/atom: 1.053
Polymorph energy (0 for the lowest one) in meV/atom: 197
Energy relative to the elements in meV per atom: -154
Size of the total moment in μB per formula unit: 0.0
Crystal system: orthorhombic
Electronic total energy in eV for the cell shown: -37.67

=====

# 3
Below is crystalline Er6Ga2Ag at its relaxed geometry, with properties calculated at the GGA-PBE level.

Unit cell a=8.4870 b=8.4870 c=8.4870 alpha=111.93 beta=111.03 gamma=105.52
Closest atoms and distances in Å follow each position.
Atoms (fractional coordinates):
Er  0.0288  0.8239  0.2049  3 Ga 2.86-3.01
Er  0.2485  0.5521  0.3036  2 Ga 2.96-3.17, 2 Ag 3.16-3.19
Er  0.2485  0.9449  0.6964  2 Ga 2.96-3.17, 2 Ag 3.16-3.19
Er  0.2733  0.3202  0.5935  3 Ga 3.04-3.11, 1 Ag 3.13
Er  0.2733  0.6798  0.9531  3 Ga 3.04-3.11, 1 Ag 3.13
Er  0.3810  0.1761  0.2049  3 Ga 2.86-3.01
Er  0.6190  0.8239  0.7951  3 Ga 2.86-3.01
Er  0.7267  0.3202  0.0469  3 Ga 3.04-3.11, 1 Ag 3.13
Er  0.7267  0.6798  0.4065  3 Ga 3.04-3.11, 1 Ag 3.13
Er  0.7515  0.0551  0.3036  2 Ga 2.96-3.17, 2 Ag 3.16-3.19
Er  0.7515  0.4479  0.6964  2 Ga 2.96-3.17, 2 Ag 3.16-3.19
Er  0.9712  0.1761  0.7951  3 Ga 2.86-3.01
Ga  0.0000  0.1451  0.1451  1 Ga 2.76, 6 Er 2.96-3.01
Ga  0.0000  0.8549  0.8549  1 Ga 2.76, 6 Er 2.96-3.01
Ga  0.3774  0.3774  0.0000  1 Ga 2.52
Ga  0.6226  0.6226  0.0000  1 Ga 2.52
Ag  0.0000  0.5000  0.5000  8 Er 3.13-3.16, 2 Ga 3.37
Ag  0.5000  0.0000  0.5000  8 Er 3.19-3.36

N(E_F) in states/eV/atom: 0.748
Polymorph energy (0 for the lowest one) in meV/atom: 0
Energy relative to the elements in meV per atom: -351
Size of the total moment in μB per formula unit: 0.0
Crystal system: orthorhombic
Electronic total energy in eV for the cell shown: -78.88

=====

# 4
Below is crystalline ErGaAg2 at its relaxed geometry, with properties calculated at the GGA-PBE level.

Unit cell a=5.3295 b=4.8208 c=6.1980 alpha=90.00 beta=90.05 gamma=90.00
Closest atoms and distances in Å follow each position.
Atoms (fractional coordinates):
Er  0.1484  0.2500  0.2496  8 Ag 3.03-3.11, 4 Ga 3.08-3.12
Er  0.8516  0.7500  0.7504  8 Ag 3.03-3.11, 4 Ga 3.08-3.12
Ga  0.2117  0.2500  0.7495  6 Ag 2.85-2.94, 4 Er 3.08-3.12
Ga  0.7883  0.7500  0.2505  6 Ag 2.85-2.94, 4 Er 3.08-3.12
Ag  0.3427  0.7500  0.5034  3 Ga 2.85-2.94, 4 Ag 2.94-3.14, 4 Er 3.03-3.11
Ag  0.3432  0.7500  0.9963  3 Ga 2.85-2.94, 4 Ag 2.93-3.14, 4 Er 3.03-3.11
Ag  0.6568  0.2500  0.0037  3 Ga 2.85-2.94, 4 Ag 2.93-3.14, 4 Er 3.03-3.11
Ag  0.6573  0.2500  0.4966  3 Ga 2.85-2.94, 4 Ag 2.94-3.14, 4 Er 3.03-3.11

N(E_F) in states/eV/atom: 0.304
Polymorph energy (0 for the lowest one) in meV/atom: 0
Energy relative to the elements in meV per atom: -327
Size of the total moment in μB per formula unit: 0.0
Crystal system: monoclinic
Electronic total energy in eV for the cell shown: -29.20

=====

# 5
Below is crystalline ErHfGaAg at its relaxed geometry, with properties calculated at the GGA-PBE level.

Unit cell a=6.9450 b=6.9450 c=6.9450 alpha=90.00 beta=90.00 gamma=90.00
Closest atoms and distances in Å follow each position.
Atoms (fractional coordinates):
Er  0.0000  0.0000  0.0000  4 Ag 3.01, 4 Ga 3.01
Er  0.0000  0.5000  0.5000  4 Ga 3.01, 4 Ag 3.01
Er  0.5000  0.0000  0.5000  4 Ga 3.01, 4 Ag 3.01
Er  0.5000  0.5000  0.0000  4 Ga 3.01, 4 Ag 3.01
Hf  0.0000  0.0000  0.5000  4 Ga 3.01, 4 Ag 3.01
Hf  0.0000  0.5000  0.0000  4 Ga 3.01, 4 Ag 3.01
Hf  0.5000  0.0000  0.0000  4 Ga 3.01, 4 Ag 3.01
Hf  0.5000  0.5000  0.5000  4 Ga 3.01, 4 Ag 3.01
Ga  0.2500  0.2500  0.7500  4 Hf 3.01, 4 Er 3.01
Ga  0.2500  0.7500  0.2500  4 Hf 3.01, 4 Er 3.01
Ga  0.7500  0.2500  0.2500  4 Hf 3.01, 4 Er 3.01
Ga  0.7500  0.7500  0.7500  4 Hf 3.01, 4 Er 3.01
Ag  0.2500  0.2500  0.2500  4 Hf 3.01, 4 Er 3.01
Ag  0.2500  0.7500  0.7500  4 Hf 3.01, 4 Er 3.01
Ag  0.7500  0.2500  0.7500  4 Hf 3.01, 4 Er 3.01
Ag  0.7500  0.7500  0.2500  4 Hf 3.01, 4 Er 3.01

N(E_F) in states/eV/atom: 0.629
Energy relative to the elements in meV per atom: -249
Size of the total moment in μB per formula unit: 0.8
Crystal system: cubic
Electronic total energy in eV for the cell shown: -85.57

=====

# 6
Below is crystalline Er4GaAgHg2 at its relaxed geometry, with properties calculated at the GGA-PBE level.

Unit cell a=8.9118 b=8.9118 c=8.9118 alpha=33.55 beta=33.55 gamma=33.55
Closest atoms and distances in Å follow each position.
Atoms (fractional coordinates):
Er  0.1233  0.1233  0.1233  1 Ga 3.11, 4 Hg 3.12-3.13, 3 Ag 3.17
Er  0.3734  0.3734  0.3734  3 Ga 3.14, 4 Hg 3.17-3.19, 1 Ag 3.19
Er  0.6266  0.6266  0.6266  3 Ga 3.14, 4 Hg 3.17-3.19, 1 Ag 3.19
Er  0.8767  0.8767  0.8767  1 Ga 3.11, 4 Hg 3.12-3.13, 3 Ag 3.17
Ga  0.0000  0.0000  0.0000  8 Er 3.11-3.14
Ag  0.5000  0.5000  0.5000  8 Er 3.17-3.19
Hg  0.2476  0.2476  0.2476  8 Er 3.12-3.19
Hg  0.7524  0.7524  0.7524  8 Er 3.12-3.19

N(E_F) in states/eV/atom: 0.725
Energy relative to the elements in meV per atom: -458
Size of the total moment in μB per formula unit: 0.0
Crystal system: trigonal
Electronic total energy in eV for the cell shown: -28.39

=====

# 7
Below is crystalline HoErGaAg at its relaxed geometry, with properties calculated at the GGA-PBE level.

Unit cell a=7.1799 b=7.1799 c=7.1799 alpha=90.00 beta=90.00 gamma=90.00
Closest atoms and distances in Å follow each position.
Atoms (fractional coordinates):
Ho  0.0000  0.0000  0.0000  4 Ga 3.11, 4 Ag 3.11
Ho  0.0000  0.5000  0.5000  4 Ga 3.11, 4 Ag 3.11
Ho  0.5000  0.0000  0.5000  4 Ga 3.11, 4 Ag 3.11
Ho  0.5000  0.5000  0.0000  4 Ga 3.11, 4 Ag 3.11
Er  0.0000  0.0000  0.5000  4 Ag 3.11, 4 Ga 3.11
Er  0.0000  0.5000  0.0000  4 Ag 3.11, 4 Ga 3.11
Er  0.5000  0.0000  0.0000  4 Ag 3.11, 4 Ga 3.11
Er  0.5000  0.5000  0.5000  4 Ag 3.11, 4 Ga 3.11
Ga  0.2500  0.2500  0.7500  4 Ho 3.11, 4 Er 3.11
Ga  0.2500  0.7500  0.2500  4 Ho 3.11, 4 Er 3.11
Ga  0.7500  0.2500  0.2500  4 Ho 3.11, 4 Er 3.11
Ga  0.7500  0.7500  0.7500  4 Ho 3.11, 4 Er 3.11
Ag  0.2500  0.2500  0.2500  4 Ho 3.11, 4 Er 3.11
Ag  0.2500  0.7500  0.7500  4 Ho 3.11, 4 Er 3.11
Ag  0.7500  0.2500  0.7500  4 Ho 3.11, 4 Er 3.11
Ag  0.7500  0.7500  0.2500  4 Ho 3.11, 4 Er 3.11

N(E_F) in states/eV/atom: 0.663
Energy relative to the elements in meV per atom: -467
Size of the total moment in μB per formula unit: 0.0
Crystal system: cubic
Electronic total energy in eV for the cell shown: -67.55

=====

# 8
Below is crystalline ErInGaAg at its relaxed geometry, with properties calculated at the GGA-PBE level.

Unit cell a=6.9914 b=6.9914 c=6.9914 alpha=90.00 beta=90.00 gamma=90.00
Closest atoms and distances in Å follow each position.
Atoms (fractional coordinates):
Er  0.0000  0.0000  0.0000  4 Ga 3.03, 4 Ag 3.03
Er  0.0000  0.5000  0.5000  4 Ga 3.03, 4 Ag 3.03
Er  0.5000  0.0000  0.5000  4 Ga 3.03, 4 Ag 3.03
Er  0.5000  0.5000  0.0000  4 Ga 3.03, 4 Ag 3.03
In  0.0000  0.0000  0.5000  4 Ag 3.03, 4 Ga 3.03
In  0.0000  0.5000  0.0000  4 Ag 3.03, 4 Ga 3.03
In  0.5000  0.0000  0.0000  4 Ag 3.03, 4 Ga 3.03
In  0.5000  0.5000  0.5000  4 Ag 3.03, 4 Ga 3.03
Ga  0.2500  0.2500  0.2500  4 In 3.03, 4 Er 3.03
Ga  0.2500  0.7500  0.7500  4 In 3.03, 4 Er 3.03
Ga  0.7500  0.2500  0.7500  4 In 3.03, 4 Er 3.03
Ga  0.7500  0.7500  0.2500  4 In 3.03, 4 Er 3.03
Ag  0.2500  0.2500  0.7500  4 Er 3.03, 4 In 3.03
Ag  0.2500  0.7500  0.2500  4 Er 3.03, 4 In 3.03
Ag  0.7500  0.2500  0.2500  4 Er 3.03, 4 In 3.03
Ag  0.7500  0.7500  0.7500  4 Er 3.03, 4 In 3.03

N(E_F) in states/eV/atom: 0.245
Energy relative to the elements in meV per atom: -323
Size of the total moment in μB per formula unit: 0.0
Crystal system: cubic
Electronic total energy in eV for the cell shown: -57.89

=====

# 9
Below is crystalline Er4InGaAg2 at its relaxed geometry, with properties calculated at the GGA-PBE level.

Unit cell a=8.8715 b=8.8715 c=8.8715 alpha=33.69 beta=33.69 gamma=33.69
Closest atoms and distances in Å follow each position.
Atoms (fractional coordinates):
Er  0.1211  0.1211  0.1211  1 Ga 3.04, 4 Ag 3.09-3.15, 3 In 3.18
Er  0.3713  0.3713  0.3713  3 Ga 3.12, 4 Ag 3.13-3.21, 1 In 3.23
Er  0.6287  0.6287  0.6287  3 Ga 3.12, 4 Ag 3.13-3.21, 1 In 3.23
Er  0.8789  0.8789  0.8789  1 Ga 3.04, 4 Ag 3.09-3.15, 3 In 3.18
In  0.5000  0.5000  0.5000  8 Er 3.18-3.23
Ga  0.0000  0.0000  0.0000  8 Er 3.04-3.12
Ag  0.2467  0.2467  0.2467  8 Er 3.09-3.21
Ag  0.7533  0.7533  0.7533  8 Er 3.09-3.21

N(E_F) in states/eV/atom: 0.553
Energy relative to the elements in meV per atom: -436
Size of the total moment in μB per formula unit: 0.0
Crystal system: trigonal
Electronic total energy in eV for the cell shown: -33.21

=====

# 10
Below is crystalline LaErGaAg at its relaxed geometry, with properties calculated at the GGA-PBE level.

Unit cell a=7.4106 b=7.4106 c=7.4106 alpha=90.00 beta=90.00 gamma=90.00
Closest atoms and distances in Å follow each position.
Atoms (fractional coordinates):
La  0.0000  0.0000  0.0000  4 Ga 3.21, 4 Ag 3.21
La  0.0000  0.5000  0.5000  4 Ga 3.21, 4 Ag 3.21
La  0.5000  0.0000  0.5000  4 Ga 3.21, 4 Ag 3.21
La  0.5000  0.5000  0.0000  4 Ga 3.21, 4 Ag 3.21
Er  0.0000  0.0000  0.5000  4 Ga 3.21, 4 Ag 3.21
Er  0.0000  0.5000  0.0000  4 Ga 3.21, 4 Ag 3.21
Er  0.5000  0.0000  0.0000  4 Ga 3.21, 4 Ag 3.21
Er  0.5000  0.5000  0.5000  4 Ga 3.21, 4 Ag 3.21
Ga  0.2500  0.2500  0.2500  4 La 3.21, 4 Er 3.21
Ga  0.2500  0.7500  0.7500  4 La 3.21, 4 Er 3.21
Ga  0.7500  0.2500  0.7500  4 La 3.21, 4 Er 3.21
Ga  0.7500  0.7500  0.2500  4 La 3.21, 4 Er 3.21
Ag  0.2500  0.2500  0.7500  4 La 3.21, 4 Er 3.21
Ag  0.2500  0.7500  0.2500  4 La 3.21, 4 Er 3.21
Ag  0.7500  0.2500  0.2500  4 La 3.21, 4 Er 3.21
Ag  0.7500  0.7500  0.7500  4 La 3.21, 4 Er 3.21

N(E_F) in states/eV/atom: 0.879
Energy relative to the elements in meV per atom: -419
Size of the total moment in μB per formula unit: 0.0
Crystal system: cubic
Electronic total energy in eV for the cell shown: -68.17

=====

# 11
Below is crystalline LiErGaAg at its relaxed geometry, with properties calculated at the GGA-PBE level.

Unit cell a=6.8114 b=6.8114 c=6.8114 alpha=90.00 beta=90.00 gamma=90.00
Closest atoms and distances in Å follow each position.
Atoms (fractional coordinates):
Li  0.0000  0.0000  0.0000  4 Ga 2.95, 4 Ag 2.95
Li  0.0000  0.5000  0.5000  4 Ga 2.95, 4 Ag 2.95
Li  0.5000  0.0000  0.5000  4 Ga 2.95, 4 Ag 2.95
Li  0.5000  0.5000  0.0000  4 Ga 2.95, 4 Ag 2.95
Er  0.0000  0.0000  0.5000  4 Ag 2.95, 4 Ga 2.95
Er  0.0000  0.5000  0.0000  4 Ag 2.95, 4 Ga 2.95
Er  0.5000  0.0000  0.0000  4 Ag 2.95, 4 Ga 2.95
Er  0.5000  0.5000  0.5000  4 Ag 2.95, 4 Ga 2.95
Ga  0.2500  0.2500  0.2500  4 Er 2.95, 4 Li 2.95
Ga  0.2500  0.7500  0.7500  4 Li 2.95, 4 Er 2.95
Ga  0.7500  0.2500  0.7500  4 Li 2.95, 4 Er 2.95
Ga  0.7500  0.7500  0.2500  4 Li 2.95, 4 Er 2.95
Ag  0.2500  0.2500  0.7500  4 Li 2.95, 4 Er 2.95
Ag  0.2500  0.7500  0.2500  4 Li 2.95, 4 Er 2.95
Ag  0.7500  0.2500  0.2500  4 Li 2.95, 4 Er 2.95
Ag  0.7500  0.7500  0.7500  4 Li 2.95, 4 Er 2.95

N(E_F) in states/eV/atom: 0.303
Energy relative to the elements in meV per atom: -349
Size of the total moment in μB per formula unit: 0.0
Crystal system: cubic
Electronic total energy in eV for the cell shown: -55.00

=====

# 12
Below is crystalline ErLuGaAg at its relaxed geometry, with properties calculated at the GGA-PBE level.

Unit cell a=7.1178 b=7.1178 c=7.1178 alpha=90.00 beta=90.00 gamma=90.00
Closest atoms and distances in Å follow each position.
Atoms (fractional coordinates):
Er  0.0000  0.0000  0.0000  4 Ga 3.08, 4 Ag 3.08
Er  0.0000  0.5000  0.5000  4 Ga 3.08, 4 Ag 3.08
Er  0.5000  0.0000  0.5000  4 Ga 3.08, 4 Ag 3.08
Er  0.5000  0.5000  0.0000  4 Ga 3.08, 4 Ag 3.08
Lu  0.0000  0.0000  0.5000  4 Ag 3.08, 4 Ga 3.08
Lu  0.0000  0.5000  0.0000  4 Ag 3.08, 4 Ga 3.08
Lu  0.5000  0.0000  0.0000  4 Ag 3.08, 4 Ga 3.08
Lu  0.5000  0.5000  0.5000  4 Ag 3.08, 4 Ga 3.08
Ga  0.2500  0.2500  0.2500  4 Lu 3.08, 4 Er 3.08
Ga  0.2500  0.7500  0.7500  4 Lu 3.08, 4 Er 3.08
Ga  0.7500  0.2500  0.7500  4 Lu 3.08, 4 Er 3.08
Ga  0.7500  0.7500  0.2500  4 Lu 3.08, 4 Er 3.08
Ag  0.2500  0.2500  0.7500  4 Er 3.08, 4 Lu 3.08
Ag  0.2500  0.7500  0.2500  4 Er 3.08, 4 Lu 3.08
Ag  0.7500  0.2500  0.2500  4 Er 3.08, 4 Lu 3.08
Ag  0.7500  0.7500  0.7500  4 Er 3.08, 4 Lu 3.08

N(E_F) in states/eV/atom: 0.560
Energy relative to the elements in meV per atom: -469
Size of the total moment in μB per formula unit: 0.0
Crystal system: cubic
Electronic total energy in eV for the cell shown: -67.35

=====

# 13
Below is crystalline NaErGaAg at its relaxed geometry, with properties calculated at the GGA-PBE level.

Unit cell a=7.0629 b=7.0629 c=7.0629 alpha=90.00 beta=90.00 gamma=90.00
Closest atoms and distances in Å follow each position.
Atoms (fractional coordinates):
Na  0.0000  0.0000  0.0000  4 Ga 3.06, 4 Ag 3.06
Na  0.0000  0.5000  0.5000  4 Ga 3.06, 4 Ag 3.06
Na  0.5000  0.0000  0.5000  4 Ga 3.06, 4 Ag 3.06
Na  0.5000  0.5000  0.0000  4 Ga 3.06, 4 Ag 3.06
Er  0.0000  0.0000  0.5000  4 Ga 3.06, 4 Ag 3.06
Er  0.0000  0.5000  0.0000  4 Ga 3.06, 4 Ag 3.06
Er  0.5000  0.0000  0.0000  4 Ga 3.06, 4 Ag 3.06
Er  0.5000  0.5000  0.5000  4 Ga 3.06, 4 Ag 3.06
Ga  0.2500  0.2500  0.2500  4 Na 3.06, 4 Er 3.06
Ga  0.2500  0.7500  0.7500  4 Na 3.06, 4 Er 3.06
Ga  0.7500  0.2500  0.7500  4 Na 3.06, 4 Er 3.06
Ga  0.7500  0.7500  0.2500  4 Na 3.06, 4 Er 3.06
Ag  0.2500  0.2500  0.7500  4 Na 3.06, 4 Er 3.06
Ag  0.2500  0.7500  0.2500  4 Na 3.06, 4 Er 3.06
Ag  0.7500  0.2500  0.2500  4 Na 3.06, 4 Er 3.06
Ag  0.7500  0.7500  0.7500  4 Na 3.06, 4 Er 3.06

N(E_F) in states/eV/atom: 0.620
Energy relative to the elements in meV per atom: -179
Size of the total moment in μB per formula unit: 0.0
Crystal system: cubic
Electronic total energy in eV for the cell shown: -49.90